(1)
This record from the Alexandria database describes an optimized crystal structure of Ba2LaMg9. The functional is PBE.

Cell and atoms, written as CIF:
```
data_Ba2LaMg9
_cell_length_a 6.3277
_cell_length_b 6.3277
_cell_length_c 31.2284
_cell_angle_alpha 90.00
_cell_angle_beta 90.00
_cell_angle_gamma 120.00
_space_group_name_H-M_alt 'R -3 m'
_space_group_IT_number 166
_space_group_name_Hall '-R 3 2"'
loop_
_atom_site_label
_atom_site_type_symbol
_atom_site_fract_x
_atom_site_fract_y
_atom_site_fract_z
Ba1 Ba 0.0000 0.0000 0.1415
La1 La 0.0000 0.0000 0.0000
Mg1 Mg 0.0000 0.0000 0.3340
Mg2 Mg 0.0000 0.0000 0.5000
Mg3 Mg 0.0005 0.5003 0.9213
```

Properties
Formation enthalpy at 0 K   -0.054 eV/atom
Mass density   2.91 g cm⁻³
Density of states at the Fermi level   10.27 states/eV/f.u.
V   30.08 Å³/atom



(2)
This record from the Alexandria database describes an optimized crystal structure of YPdC2. The functional is PBE.

Cell and atoms, written as CIF:
```
data_YPdC2
_cell_length_a 5.896
_cell_length_b 5.896
_cell_length_c 5.896
_cell_angle_alpha 90.00
_cell_angle_beta 90.00
_cell_angle_gamma 90.00
_space_group_name_H-M_alt 'F m -3 m'
_space_group_IT_number 225
_space_group_name_Hall '-F 4 2 3'
loop_
_atom_site_label
_atom_site_type_symbol
_atom_site_fract_x
_atom_site_fract_y
_atom_site_fract_z
Y1 Y 0.000 0.000 0.000
Pd1 Pd 0.000 0.000 0.500
C1 C 0.250 0.250 0.250
```

Properties
Formation enthalpy at 0 K   0.941 eV/atom
Mass density   7.11 g cm⁻³
Energy above the lowest structure with this stoichiometry   16.0 kJ/mol of atoms
Density of states at the Fermi level   3.67 states/eV/f.u.
V   12.81 Å³/atom



- Among the records above, which one has the highest formation enthalpy at 0 K?
  YPdC2